(1)
## Pm2Sc2Sb2C (PBE-GGA)

Data for a geometry-optimized Pm2Sc2Sb2C structure.

Lattice parameters (Å, degrees): 4.531 4.531 8.673 105.14 105.14 90.00
Atoms (fractional coordinates):
Sc1 0.500 0.000 0.000
Sc2 0.000 0.500 0.000
Sb1 0.634 0.634 0.267
Sb2 0.366 0.366 0.733
Pm1 0.837 0.837 0.674
Pm2 0.163 0.163 0.326
C1 0.000 0.000 0.000

Properties
N(E_F) = 6.6 states/eV per cell
formation energy (no corrections) = -6.67 eV per formula unit
VASP energy = -6.6146 eV/atom
M_tot = 0.0 μB per formula unit

***

(2)
## PrHoCO (PBE-GGA)

Data for a geometry-optimized PrHoCO structure.

Lattice parameters (Å, degrees): 3.206 3.379 6.533 104.99 104.20 90.00
Atoms (fractional coordinates):
Pr1 0.823 0.323 0.646
C1 0.662 0.662 0.324
O1 0.420 0.920 0.841
Ho1 0.074 0.074 0.148

Properties
N(E_F) = 1.4 states/eV per cell
formation energy (no corrections) = -4.50 eV per formula unit
VASP energy = -7.0102 eV/atom
M_tot = 0.0 μB per formula unit

***

(3)
## Ta2MnPtAu (PBE-GGA)

Data for a geometry-optimized Ta2MnPtAu structure.

Lattice parameters (Å, degrees): 4.474 4.709 4.474 90.00 90.00 90.00
Atoms (fractional coordinates):
Mn1 0.000 0.000 0.000
Au1 0.000 0.500 0.000
Pt1 0.500 0.500 0.500
Ta1 0.000 0.000 0.500
Ta2 0.500 0.000 0.000

Properties
N(E_F) = 4.1 states/eV per cell
DFT formation energy = 814 meV/atom
VASP energy = -7.6243 eV/atom
M_tot = 0.0 μB per formula unit